Entry 1:
AcMg3C4O12: relaxed, PBE.

The structure in POSCAR format:
```
AcMg3C4O12
1.0
4.855 2.803 2.713
-4.855 2.803 2.713
0.000 -5.606 2.713
Ac Mg C O
1 3 4 12
direct
0.000 0.000 0.000
0.000 0.547 0.453
0.453 0.000 0.547
0.547 0.453 0.000
0.049 0.500 0.951
0.500 0.500 0.500
0.500 0.951 0.049
0.951 0.049 0.500
0.027 0.614 0.797
0.088 0.912 0.500
0.203 0.386 0.973
0.366 0.634 0.500
0.386 0.973 0.203
0.500 0.088 0.912
0.500 0.366 0.634
0.614 0.797 0.027
0.634 0.500 0.366
0.797 0.027 0.614
0.912 0.500 0.088
0.973 0.203 0.386
```

Values from the calculation:
V = 11.076 A^3/atom
E_form (uncorrected) = -1993 meV per atom



Entry 2:
TiBAsPd2: relaxed, PBE.

The structure in POSCAR format:
```
TiBAsPd2
1.0
4.582 0.000 0.000
0.000 4.582 0.000
0.000 0.000 4.753
Ti B As Pd
1 1 1 2
direct
0.000 0.000 0.000
0.500 0.500 0.000
0.000 0.000 0.500
0.000 0.500 0.500
0.500 0.000 0.500
```

Values from the calculation:
ΔH_f (0 K) = 0.95 eV per atom
V = 19.955 A^3/atom



Entry 3:
RbGeAs2: relaxed, PBE.

The structure in POSCAR format:
```
RbGeAs2
1.0
-3.892 3.892 3.979
3.892 -3.892 3.979
3.892 3.892 -3.979
Rb Ge As
2 2 4
direct
0.000 0.000 0.000
0.750 0.250 0.500
0.250 0.750 0.500
0.500 0.500 0.000
0.223 0.125 0.598
0.375 0.777 0.902
0.527 0.625 0.402
0.875 0.473 0.098
```

Values from the calculation:
ΔH_f (0 K) = -0.07 eV per atom
V = 30.133 A^3/atom



Entry 4:
BaPm2C: relaxed, PBE.

The structure in POSCAR format:
```
BaPm2C
1.0
1.867 1.078 10.479
-1.867 1.078 10.479
0.000 -2.156 10.479
Ba Pm C
1 2 1
direct
0.000 0.000 0.000
0.122 0.122 0.122
0.878 0.878 0.878
0.500 0.500 0.500
```

Values from the calculation:
ΔH_f (0 K) = 0.02 eV per atom
V = 31.634 A^3/atom



Entry 5:
MgTaP2O: relaxed, PBE.

The structure in POSCAR format:
```
MgTaP2O
1.0
4.798 0.000 0.000
0.000 4.798 0.000
0.000 0.000 3.533
Mg Ta P O
1 1 2 1
direct
0.000 0.000 0.000
0.500 0.500 0.500
0.000 0.500 0.000
0.500 0.000 0.000
0.000 0.000 0.500
```

Values from the calculation:
V = 16.264 A^3/atom
E above lowest polymorph = 1078 meV/atom
E_form (uncorrected) = 385 meV per atom



Entry 6:
RuAuCl3: relaxed, PBE.

The structure in POSCAR format:
```
RuAuCl3
1.0
4.788 0.000 0.000
0.000 4.788 0.000
0.000 0.000 4.788
Ru Au Cl
1 1 3
direct
0.000 0.000 0.000
0.500 0.500 0.500
0.000 0.000 0.500
0.000 0.500 0.000
0.500 0.000 0.000
```

Values from the calculation:
V = 21.957 A^3/atom
E above lowest polymorph = 0 meV/atom
E_form (uncorrected) = 247 meV per atom



In eV/atom, the energy values for the records above are, in order, -7.257, -4.976, -3.795, -5.140, -5.460, -3.372.